# 1
The following is a DFT calculation (GGA-PBE) of an optimized crystal structure of LiScZnRe2. Values from VASP.

Magnetization ... 2.138 μB per formula unit
Formation enthalpy at 0 K ... 42.85 kcal/mol of atoms
SG ... P4/mmm, No. 123
V ... 22.2 Å³/atom
Density of states at the Fermi level ... 1.305 states/eV per atom

```
&SYSTEM
  ibrav = 0, nat = 5, ntyp = 4
/
ATOMIC_SPECIES
Sc 44.96 Sc.upf
Re 186.21 Re.upf
Zn 65.41 Zn.upf
Li 6.94 Li.upf
ATOMIC_POSITIONS crystal
Sc 0.000 0.000 0.000
Re 0.000 0.000 0.500
Re 0.500 0.000 0.000
Zn 0.000 0.500 0.000
Li 0.500 0.500 0.500
CELL_PARAMETERS angstrom
4.679 0.000 0.000
0.000 5.074 0.000
0.000 0.000 4.679
```

---

# 2
The following is a DFT calculation (GGA-PBE) of an optimized crystal structure of Li2ScZnRe. Values from VASP.

Magnetization ... 0.000 μB per formula unit
Formation enthalpy at 0 K ... 11.89 kcal/mol of atoms
SG ... P4/mmm, No. 123
V ... 17.6 Å³/atom
Density of states at the Fermi level ... 0.187 states/eV per atom

```
&SYSTEM
  ibrav = 0, nat = 5, ntyp = 4
/
ATOMIC_SPECIES
Sc 44.96 Sc.upf
Re 186.21 Re.upf
Zn 65.41 Zn.upf
Li 6.94 Li.upf
ATOMIC_POSITIONS crystal
Sc 0.500 0.500 0.500
Re 0.000 0.500 0.000
Zn 0.000 0.000 0.000
Li 0.000 0.000 0.500
Li 0.500 0.000 0.000
CELL_PARAMETERS angstrom
4.232 0.000 0.000
0.000 4.902 0.000
0.000 0.000 4.232
```

---

# 3
The following is a DFT calculation (GGA-PBE) of an optimized crystal structure of LiZrScRe. Values from VASP.

Magnetization ... 0.000 μB per formula unit
Formation enthalpy at 0 K ... -2.39 kcal/mol of atoms
SG ... F-43m, No. 216
V ... 17.9 Å³/atom
Density of states at the Fermi level ... 0.556 states/eV per atom

```
&SYSTEM
  ibrav = 0, nat = 4, ntyp = 4
/
ATOMIC_SPECIES
Sc 44.96 Sc.upf
Re 186.21 Re.upf
Zr 91.22 Zr.upf
Li 6.94 Li.upf
ATOMIC_POSITIONS crystal
Sc 0.250 0.250 0.250
Re 0.000 0.000 0.000
Zr 0.750 0.750 0.750
Li 0.500 0.500 0.500
CELL_PARAMETERS angstrom
-0.640 -4.152 2.021
1.535 -3.872 -2.093
3.639 -2.318 1.766
```

---

# 4
The following is a DFT calculation (GGA-PBE) of an optimized crystal structure of Li2ReSe. Values from VASP.

Magnetization ... 0.000 μB per formula unit
SG ... Pm, No. 6
ΔE_f (raw) ... 86 meV/atom
V ... 15.3 Å³/atom
Density of states at the Fermi level ... 0.396 states/eV per atom

```
&SYSTEM
  ibrav = 0, nat = 4, ntyp = 3
/
ATOMIC_SPECIES
Li 6.94 Li.upf
Re 186.21 Re.upf
Se 78.96 Se.upf
ATOMIC_POSITIONS crystal
Li 0.000 0.118 0.998
Li 0.500 0.135 0.269
Re 0.000 0.625 0.503
Se 0.500 0.621 0.730
CELL_PARAMETERS angstrom
4.526 0.000 0.000
0.000 2.651 -0.107
0.000 0.271 5.096
```

---

# 5
The following is a DFT calculation (GGA-PBE) of an optimized crystal structure of Li2ReSe. Values from VASP.

Magnetization ... 0.146 μB per formula unit
SG ... Pmmm, No. 47
ΔE_f (raw) ... 202 meV/atom
V ... 14.4 Å³/atom
Density of states at the Fermi level ... 0.816 states/eV per atom

```
&SYSTEM
  ibrav = 0, nat = 4, ntyp = 3
/
ATOMIC_SPECIES
Li 6.94 Li.upf
Re 186.21 Re.upf
Se 78.96 Se.upf
ATOMIC_POSITIONS crystal
Li 0.000 0.000 0.000
Li 0.500 0.500 0.000
Re 0.500 0.000 0.500
Se 0.000 0.500 0.500
CELL_PARAMETERS angstrom
3.081 0.000 0.000
0.000 4.235 0.000
0.000 0.000 4.414
```

---

# 6
The following is a DFT calculation (GGA-PBE) of an optimized crystal structure of Li2ReSe. Values from VASP.

Magnetization ... 0.000 μB per formula unit
SG ... I-42d, No. 122
ΔE_f (raw) ... 378 meV/atom
V ... 15.9 Å³/atom
Density of states at the Fermi level ... 0.757 states/eV per atom

```
&SYSTEM
  ibrav = 0, nat = 8, ntyp = 3
/
ATOMIC_SPECIES
Re 186.21 Re.upf
Se 78.96 Se.upf
Li 6.94 Li.upf
ATOMIC_POSITIONS crystal
Re 0.000 0.000 0.000
Re 0.750 0.250 0.500
Se 0.500 0.500 0.000
Se 0.250 0.750 0.500
Li 0.593 0.125 0.250
Li 0.157 0.625 0.250
Li 0.375 0.407 0.750
Li 0.875 0.843 0.750
CELL_PARAMETERS angstrom
-4.239 -5.635 1.919
5.595 -4.576 -1.078
1.341 -4.830 2.692
```

---

# 7
The following is a DFT calculation (GGA-PBE) of an optimized crystal structure of Li2ReSe. Values from VASP.

Magnetization ... 0.790 μB per formula unit
SG ... P4/mmm, No. 123
ΔE_f (raw) ... 258 meV/atom
V ... 13.9 Å³/atom
Density of states at the Fermi level ... 0.756 states/eV per atom

```
&SYSTEM
  ibrav = 0, nat = 4, ntyp = 3
/
ATOMIC_SPECIES
Li 6.94 Li.upf
Re 186.21 Re.upf
Se 78.96 Se.upf
ATOMIC_POSITIONS crystal
Li 0.000 0.000 0.000
Li 0.500 0.500 0.000
Re 0.500 0.000 0.500
Se 0.000 0.500 0.500
CELL_PARAMETERS angstrom
-2.138 -1.833 -2.500
2.577 0.636 -2.671
1.797 -3.367 0.932
```

---

# 8
The following is a DFT calculation (GGA-PBE) of an optimized crystal structure of LiRe4Se7. Values from VASP.

Magnetization ... 0.000 μB per formula unit
SG ... Pmn2_1, No. 31
ΔE_f (raw) ... -94 meV/atom
V ... 26.3 Å³/atom
Density of states at the Fermi level ... 0.515 states/eV per atom

```
&SYSTEM
  ibrav = 0, nat = 24, ntyp = 3
/
ATOMIC_SPECIES
Li 6.94 Li.upf
Re 186.21 Re.upf
Se 78.96 Se.upf
ATOMIC_POSITIONS crystal
Li 0.618 0.390 0.500
Li 0.117 0.610 0.000
Re 0.575 0.684 0.870
Re 0.904 0.561 0.263
Re 0.404 0.439 0.237
Re 0.075 0.316 0.630
Re 0.075 0.316 0.370
Re 0.575 0.684 0.130
Re 0.904 0.561 0.737
Re 0.404 0.439 0.763
Se 0.047 0.772 0.153
Se 0.547 0.228 0.347
Se 0.464 0.377 0.902
Se 0.964 0.623 0.598
Se 0.964 0.623 0.402
Se 0.464 0.377 0.098
Se 0.513 0.768 0.732
Se 0.014 0.232 0.768
Se 0.014 0.232 0.232
Se 0.514 0.768 0.268
Se 0.529 0.830 0.000
Se 0.029 0.170 0.500
Se 0.047 0.772 0.847
Se 0.547 0.228 0.653
CELL_PARAMETERS angstrom
4.968 0.000 0.000
0.001 7.406 0.000
0.000 0.000 17.141
```

---

# 9
The following is a DFT calculation (GGA-PBE) of an optimized crystal structure of Li2ReSe. Values from VASP.

Magnetization ... 0.008 μB per formula unit
SG ... I-4m2, No. 119
ΔE_f (raw) ... 162 meV/atom
V ... 13.2 Å³/atom
Density of states at the Fermi level ... 0.658 states/eV per atom

```
&SYSTEM
  ibrav = 0, nat = 4, ntyp = 3
/
ATOMIC_SPECIES
Li 6.94 Li.upf
Re 186.21 Re.upf
Se 78.96 Se.upf
ATOMIC_POSITIONS crystal
Li 0.000 0.000 0.000
Li 0.250 0.750 0.500
Re 0.500 0.500 0.000
Se 0.750 0.250 0.500
CELL_PARAMETERS angstrom
-0.065 -2.239 -4.182
1.657 -4.443 0.142
-3.168 2.473 2.522
```

---

# 10
The following is a DFT calculation (GGA-PBE) of an optimized crystal structure of Li2ReSe. Values from VASP.

Magnetization ... 0.001 μB per formula unit
SG ... Cmm2, No. 35
ΔE_f (raw) ... 329 meV/atom
V ... 16.9 Å³/atom
Density of states at the Fermi level ... 0.782 states/eV per atom

```
&SYSTEM
  ibrav = 0, nat = 4, ntyp = 3
/
ATOMIC_SPECIES
Li 6.94 Li.upf
Re 186.21 Re.upf
Se 78.96 Se.upf
ATOMIC_POSITIONS crystal
Li 0.000 0.000 0.978
Li 0.500 0.500 0.265
Re 0.000 0.000 0.518
Se 0.500 0.500 0.739
CELL_PARAMETERS angstrom
-2.475 -0.072 1.511
2.351 -1.067 1.323
1.808 8.141 3.351
```

---

# 11
The following is a DFT calculation (GGA-PBE) of an optimized crystal structure of Li2ReSe. Values from VASP.

Magnetization ... 0.000 μB per formula unit
SG ... Cmmm, No. 65
ΔE_f (raw) ... -16 meV/atom
V ... 15.3 Å³/atom
Density of states at the Fermi level ... 0.256 states/eV per atom

```
&SYSTEM
  ibrav = 0, nat = 4, ntyp = 3
/
ATOMIC_SPECIES
Li 6.94 Li.upf
Re 186.21 Re.upf
Se 78.96 Se.upf
ATOMIC_POSITIONS crystal
Li 0.000 0.000 0.998
Li 0.000 0.000 0.502
Re 0.500 0.500 0.250
Se 0.500 0.500 0.750
CELL_PARAMETERS angstrom
-0.213 2.389 -1.208
-2.152 -1.346 -0.875
-4.633 3.007 6.763
```

---

# 12
The following is a DFT calculation (GGA-PBE) of an optimized crystal structure of LiRe4Se. Values from VASP.

Magnetization ... 0.000 μB per formula unit
SG ... F-43m, No. 216
ΔE_f (raw) ... 729 meV/atom
V ... 16.9 Å³/atom
Density of states at the Fermi level ... 0.837 states/eV per atom

```
&SYSTEM
  ibrav = 0, nat = 6, ntyp = 3
/
ATOMIC_SPECIES
Li 6.94 Li.upf
Re 186.21 Re.upf
Se 78.96 Se.upf
ATOMIC_POSITIONS crystal
Li 0.000 0.000 0.000
Re 0.625 0.625 0.126
Re 0.625 0.126 0.625
Re 0.625 0.625 0.625
Re 0.126 0.625 0.625
Se 0.250 0.250 0.250
CELL_PARAMETERS angstrom
0.000 3.699 3.699
3.699 0.000 3.699
3.699 3.699 0.000
```

---

The highest density of states at the Fermi level belongs to which entry?
LiScZnRe2